[1]
Below is NaHg2RhF8 after structural relaxation, with properties calculated at the PBE-GGA level.

Values from the calculation:
Formation energy from raw total energies: -1.69 eV/atom
SG: P2/m, No. 10
Total magnetization: 0.0101 μB per atom

abc: 4.756 5.309 7.219
angles: 89.99 90.00 92.21
Fractional positions:
1 Na 0.000 0.000 0.500
2 Hg 0.500 0.500 0.750
3 Hg 0.500 0.500 0.250
4 Rh 0.000 0.000 0.000
5 F 0.129 0.783 0.210
6 F 0.655 0.768 0.000
7 F 0.871 0.217 0.210
8 F 0.871 0.217 0.790
9 F 0.345 0.232 0.000
10 F 0.129 0.783 0.790
11 F 0.626 0.742 0.500
12 F 0.374 0.258 0.500

[2]
Below is CuNiSn2As6 after structural relaxation, with properties calculated at the PBE-GGA level.

Values from the calculation:
Energy of formation from the pure elements: 0.04 eV/atom
SG: Cm, No. 8
Density of states at the Fermi level: 4.87 states/eV/f.u.
Total magnetization: 0.0000 μB per atom

abc: 5.644 5.645 8.428
angles: 113.34 113.35 90.06
Fractional positions:
1 Cu 0.346 0.346 0.264
2 Ni 0.501 0.502 0.065
3 Sn 0.792 0.298 0.542
4 Sn 0.297 0.792 0.542
5 As 0.793 0.794 0.060
6 As 0.707 0.707 0.406
7 As 0.132 0.132 0.913
8 As 0.670 0.132 0.915
9 As 0.130 0.130 0.377
10 As 0.131 0.671 0.915